# 1
The following is a GGA-PBE calculation of ThBi3Te6 after structural relaxation, from Alexandria via LeMat-Bulk.

Results
Space group   P2_1/m, No. 11
Formation energy without anion corrections   -0.457 eV per atom
DFT total energy   -84.96 eV per cell

Structure (POSCAR):
```
ThBi3Te6
1.0
-0.4608 0.5249 4.2967
6.0944 -11.7874 2.0937
9.5564 8.9370 -0.0669
Bi Te Th
6 12 2
Cartesian
10.3470 2.9253 4.0600
13.7256 -1.6566 2.7770
6.8204 1.1418 1.6946
1.4643 -0.6689 3.5464
4.8429 -5.2508 2.2634
8.3696 -3.4673 4.6289
8.4146 0.4502 4.1551
6.7754 -2.7757 2.1683
6.4846 -9.5621 5.1713
4.7027 3.2833 3.4109
8.1494 3.8942 1.5008
8.7053 7.2366 1.1521
10.4872 -5.6088 2.9125
12.1732 1.3120 2.2479
7.0405 -6.2197 4.8226
11.7248 -2.4598 4.8657
3.4651 0.1343 1.4578
3.0167 -3.6376 4.0756
6.4820 6.0918 3.2586
8.7079 -8.4173 3.0648
```


# 2
The following is a GGA-PBE calculation of Hf3ScSn after structural relaxation, from Alexandria via LeMat-Bulk.

Results
Energy relative to the lowest polymorph listed for this composition   0.0 kJ per mole of atoms
Space group   Cmcm, No. 63
DFT total energy   -80.21 eV per cell
E_form   0.02 eV/atom

Structure (POSCAR):
```
Hf3ScSn
1.0
5.6373 0.0000 0.0000
0.0000 5.0697 -2.6676
0.0000 0.9570 7.9700
Sc Hf Sn
2 6 2
Cartesian
1.4093 3.1293 5.9471
4.2280 2.8974 -0.6448
4.2280 1.1504 5.2384
2.8187 0.0000 0.0000
1.4093 2.3608 1.3875
4.2280 3.6659 3.9148
0.0000 0.0000 0.0000
1.4093 4.8763 0.0640
1.4093 4.8341 3.0358
4.2280 1.1927 2.2666
```


# 3
The following is a GGA-PBE calculation of ReMoW2 after structural relaxation, from Alexandria via LeMat-Bulk.

Results
Energy relative to the lowest polymorph listed for this composition   30.6 kJ per mole of atoms
Space group   I4/mmm, No. 139
DFT total energy   -47.89 eV per cell
E_form   0.32 eV/atom

Structure (POSCAR):
```
ReMoW2
1.0
-2.6405 -4.0272 0.8688
-1.3801 -1.9911 -4.2516
4.3699 1.4539 1.6538
W Mo Re
2 1 1
Cartesian
0.0000 0.0000 0.0000
-2.0103 -3.0091 -1.6914
0.4898 -1.7732 -2.1446
-0.1404 -2.7912 0.4156
```